Computed, not measured: a relaxed Cs2V3CoF12 crystal at the PBE+U level of DFT.

Cell: 7.5436 7.5436 18.4713 Å, 90.00 90.00 120.00°
Space group R-3m (No. 166, hexagonal axes)
One atom of each set of equivalent atoms:
Cs 0.0000 0.0000 0.1282 (multiplicity 6)
V 0.0000 0.5000 0.0000 (multiplicity 9)
Co 0.0000 0.0000 0.5000 (multiplicity 3)
F 0.0660 0.5330 0.1049 (multiplicity 18)
F 0.0760 0.5380 0.3548 (multiplicity 18)

Output
- energy (eV/atom) = -5.591
- N(E_F) (states/eV/f.u.) = 13.9
- volume (Å³ per atom) = 16.86